VASP calculation (PBE) on a relaxed structure of NaGeH2O.

a = 3.4564 Å, b = 7.9836 Å, c = 3.4564 Å
α = 90.00°, β = 90.00°, γ = 90.00°
Atoms (fractional coordinates):
1 Na 0.0000 0.0000 0.0000
2 Ge 0.0000 0.5000 0.0000
3 O 0.5000 0.5000 0.5000
4 H 0.0000 0.0000 0.5000
5 H 0.5000 0.0000 0.0000

Values from the calculation:
- DFT total energy: -2.886 eV per atom
- D(E_F): 1.29 states/eV/cell